No. 1
Material: LaSmCuIr
Method: DFT, PBE
State: relaxed

Its energy relative to the elements is -42.5 kJ/mol of atoms. The value obtained for the density of states at the Fermi level is 3.72 states/eV/f.u. As for the excess energy over the best structure of this formula in the dataset: 4.8 kJ/mol of atoms.

It has space group F-43m (No. 216), with a = 7.143 Å, b = 7.143 Å, c = 7.143 Å, α = 90.00°, β = 90.00° and γ = 90.00°. The asymmetric unit holds La at (0.000, 0.000, 0.000), Sm at (0.000, 0.000, 0.500), Cu at (0.250, 0.250, 0.750) and Ir at (0.250, 0.250, 0.250).



No. 2
Material: La2Cu3Sn4Ir
Method: DFT, PBE
State: relaxed

Its energy relative to the elements is -45.6 kJ/mol of atoms. The value obtained for the density of states at the Fermi level is 5.09 states/eV/f.u.

It has space group P-4m2 (No. 115), with a = 4.565 Å, b = 4.565 Å, c = 10.627 Å, α = 90.00°, β = 90.00° and γ = 90.00°. The asymmetric unit holds La at (0.000, 0.500, 0.236), Cu at (0.000, 0.000, 0.000), Cu at (0.000, 0.500, 0.632), Sn at (0.000, 0.000, 0.500), Sn at (0.000, 0.500, 0.872), Sn at (0.500, 0.500, 0.500) and Ir at (0.500, 0.500, 0.000).



No. 3
Material: La2CuSn4Ir3
Method: DFT, PBE
State: relaxed

Its energy relative to the elements is -53.9 kJ/mol of atoms. The value obtained for the density of states at the Fermi level is 6.26 states/eV/f.u.

It has space group P-4m2 (No. 115), with a = 4.564 Å, b = 4.564 Å, c = 10.788 Å, α = 90.00°, β = 90.00° and γ = 90.00°. The asymmetric unit holds La at (0.000, 0.500, 0.249), Cu at (0.000, 0.000, 0.500), Sn at (0.000, 0.000, 0.000), Sn at (0.000, 0.500, 0.626), Sn at (0.500, 0.500, 0.000), Ir at (0.000, 0.500, 0.868) and Ir at (0.500, 0.500, 0.500).



No. 4
Material: SrLaCuIr
Method: DFT, PBE
State: relaxed

Its energy relative to the elements is -22.7 kJ/mol of atoms. The value obtained for the density of states at the Fermi level is 2.38 states/eV/f.u.

It has space group F-43m (No. 216), with a = 7.257 Å, b = 7.257 Å, c = 7.257 Å, α = 90.00°, β = 90.00° and γ = 90.00°. The asymmetric unit holds Sr at (0.000, 0.000, 0.000), La at (0.000, 0.000, 0.500), Cu at (0.250, 0.250, 0.750) and Ir at (0.250, 0.250, 0.250).



What is the formula in the second record? La2Cu3Sn4Ir



Please write out number 3 again, unchanged.
Material: La2CuSn4Ir3
Method: DFT, PBE
State: relaxed

Its energy relative to the elements is -53.9 kJ/mol of atoms. The value obtained for the density of states at the Fermi level is 6.26 states/eV/f.u.

It has space group P-4m2 (No. 115), with a = 4.564 Å, b = 4.564 Å, c = 10.788 Å, α = 90.00°, β = 90.00° and γ = 90.00°. The asymmetric unit holds La at (0.000, 0.500, 0.249), Cu at (0.000, 0.000, 0.500), Sn at (0.000, 0.000, 0.000), Sn at (0.000, 0.500, 0.626), Sn at (0.500, 0.500, 0.000), Ir at (0.000, 0.500, 0.868) and Ir at (0.500, 0.500, 0.500).



The highest energy relative to the elements belongs to which entry? SrLaCuIr